Entry 1:
Density functional theory data (PBE-GGA) for a geometry-optimized KNi2Cl structure.

M_tot = 0.6 μB per formula unit
D(E_F) = 1.32 states/eV/atom
crystal system = tetragonal
E_form (uncorrected) = 0.68 eV per atom

Cell and atoms, written as POSCAR:
```
KNi2Cl
1.0
3.113 0.000 0.000
0.000 3.113 0.000
0.000 0.000 7.824
K Ni Cl
1 2 1
direct
0.000 0.000 0.000 K
0.500 0.500 0.335 Ni
0.500 0.500 0.665 Ni
0.000 0.000 0.500 Cl
```

=====

Entry 2:
Density functional theory data (PBE-GGA) for a geometry-optimized ZnFeBr2 structure.

M_tot = 3.1 μB per formula unit
D(E_F) = 0.72 states/eV/atom
crystal system = orthorhombic
E_form (uncorrected) = 0.29 eV per atom

Cell and atoms, written as POSCAR:
```
ZnFeBr2
1.0
3.691 0.000 0.000
0.000 3.880 0.000
0.000 0.000 6.826
Zn Fe Br
1 1 2
direct
0.000 0.000 0.000 Zn
0.500 0.000 0.500 Fe
0.000 0.500 0.500 Br
0.500 0.500 0.000 Br
```

=====

Entry 3:
Density functional theory data (PBE-GGA) for a geometry-optimized CaZr2Co structure.

M_tot = 0.0 μB per formula unit
D(E_F) = 0.94 states/eV/atom
crystal system = tetragonal
ΔH_f (0 K) = 1.0 eV per formula unit

Cell and atoms, written as POSCAR:
```
CaZr2Co
1.0
-3.899 3.899 3.006
3.899 -3.899 3.006
3.899 3.899 -3.006
Ca Zr Co
2 4 2
direct
0.000 0.000 0.000 Ca
0.750 0.250 0.500 Ca
0.199 0.625 0.074 Zr
0.375 0.449 0.574 Zr
0.551 0.125 0.926 Zr
0.875 0.801 0.426 Zr
0.250 0.750 0.500 Co
0.500 0.500 0.000 Co
```

=====

Entry 4:
Density functional theory data (PBE-GGA) for a geometry-optimized CaCuCBr structure.

M_tot = 0.8 μB per formula unit
D(E_F) = 0.53 states/eV/atom
crystal system = trigonal
E_form (uncorrected) = 0.06 eV per atom

Cell and atoms, written as POSCAR:
```
CaCuCBr
1.0
1.777 1.026 6.811
-1.777 1.026 6.811
0.000 -2.052 6.811
Ca Cu C Br
1 1 1 1
direct
0.000 0.000 0.000 Ca
0.436 0.436 0.436 Cu
0.748 0.748 0.748 C
0.569 0.569 0.569 Br
```

=====

Entry 5:
Density functional theory data (PBE-GGA) for a geometry-optimized Sr2GeH structure.

M_tot = 0.0 μB per formula unit
D(E_F) = 0.13 states/eV/atom
crystal system = monoclinic
calculated total energy = -3.286 eV/atom

Cell and atoms, written as POSCAR:
```
Sr2GeH
1.0
6.464 0.000 0.000
0.000 6.100 0.000
-5.510 0.000 10.790
Sr Ge H
8 4 4
direct
0.001 0.238 0.090 Sr
0.001 0.762 0.590 Sr
0.336 0.238 0.857 Sr
0.336 0.762 0.357 Sr
0.664 0.238 0.643 Sr
0.664 0.762 0.143 Sr
0.999 0.238 0.410 Sr
0.999 0.762 0.910 Sr
0.480 0.266 0.353 Ge
0.480 0.734 0.853 Ge
0.520 0.266 0.147 Ge
0.520 0.734 0.647 Ge
0.042 0.183 0.630 H
0.042 0.817 0.130 H
0.958 0.183 0.870 H
0.958 0.817 0.370 H
```

=====

Entry 6:
Density functional theory data (PBE-GGA) for a geometry-optimized PdBr2F structure.

M_tot = 0.0 μB per formula unit
D(E_F) = 0.17 states/eV/atom
crystal system = monoclinic
E_form (uncorrected) = -0.60 eV per atom

Cell and atoms, written as POSCAR:
```
PdBr2F
1.0
6.465 -1.840 0.000
6.465 1.840 0.000
-1.391 0.000 4.023
Pd Br F
1 2 1
direct
0.000 0.000 0.000 Pd
0.360 0.360 0.861 Br
0.640 0.640 0.139 Br
0.000 0.000 0.500 F
```

=====

> Among the records above, which one has the lowest D(E_F)?

Sr2GeH